Entry 1:
A plane-wave DFT calculation with PBE-GGA was carried out for a relaxed SmZn2Pt4 crystal.

Output
- total magnetization (μB per formula unit) = 0.01
- symmetry = No. 139
- uncorrected energy (eV/atom) = -3.93
- ΔE_f (meV/atom) = 566

extended XYZ file:
```
7
Lattice="-2.571 2.571 6.382 2.571 -2.571 6.382 2.571 2.571 -6.382" Properties=species:S:1:pos:R:3 pbc="T T T"
Sm 0.000 0.000 0.000
Zn 0.000 0.000 5.177
Zn 0.000 0.000 7.587
Pt 2.571 0.000 0.000
Pt 0.000 0.000 2.760
Pt 0.000 2.571 0.000
Pt 0.000 0.000 10.004
```

Entry 2:
A plane-wave DFT calculation with PBE-GGA was carried out for a relaxed Al6PtC crystal.

Output
- total magnetization (μB per formula unit) = 0.00
- symmetry = No. 216
- uncorrected energy (eV/atom) = -4.78

extended XYZ file:
```
8
Lattice="0.000 3.959 3.959 3.959 0.000 3.959 3.959 3.959 0.000" Properties=species:S:1:pos:R:3 pbc="T T T"
Al 3.959 3.959 1.896
Al 3.959 1.896 3.959
Al 6.022 3.959 3.959
Al 1.896 3.959 3.959
Al 3.959 6.022 3.959
Al 3.959 3.959 6.022
Pt 5.938 5.938 5.938
C 3.959 3.959 3.959
```

Entry 3:
A plane-wave DFT calculation with PBE-GGA was carried out for a relaxed SiAgHgAu crystal.

Output
- symmetry = No. 216
- uncorrected energy (eV/atom) = -2.65
- ΔE to the lowest computed polymorph (meV/atom) = 0.0

extended XYZ file:
```
4
Lattice="0.000 3.357 3.357 3.357 0.000 3.357 3.357 3.357 0.000" Properties=species:S:1:pos:R:3 pbc="T T T"
Si 0.000 0.000 0.000
Ag 3.357 3.357 3.357
Hg 5.035 5.035 5.035
Au 1.678 1.678 1.678
```

Entry 4:
A plane-wave DFT calculation with PBE-GGA was carried out for a relaxed MgTc2Ge2 crystal.

Output
- total magnetization (μB per formula unit) = 0.25
- symmetry = No. 127
- uncorrected energy (eV/atom) = -6.42
- ΔE to the lowest computed polymorph (meV/atom) = 0.0

extended XYZ file:
```
10
Lattice="7.074 0.000 0.000 0.000 7.074 0.000 0.000 0.000 3.096" Properties=species:S:1:pos:R:3 pbc="T T T"
Mg 0.000 0.000 0.000
Mg 3.537 3.537 0.000
Tc 1.073 2.464 1.548
Tc 2.464 6.001 1.548
Tc 4.610 1.073 1.548
Tc 6.001 4.610 1.548
Ge 1.007 4.543 0.000
Ge 2.530 1.007 0.000
Ge 4.543 6.067 0.000
Ge 6.067 2.530 0.000
```

Entry 5:
A plane-wave DFT calculation with PBE-GGA was carried out for a relaxed Sm2Er2O5 crystal.

Output
- total magnetization (μB per formula unit) = 1.16
- symmetry = No. 123
- uncorrected energy (eV/atom) = -7.61
- ΔE to the lowest computed polymorph (meV/atom) = 0.0

extended XYZ file:
```
9
Lattice="3.860 0.000 0.000 0.000 3.860 0.000 0.000 0.000 9.985" Properties=species:S:1:pos:R:3 pbc="T T T"
Sm 0.000 0.000 2.398
Sm 0.000 0.000 7.586
Er 1.930 1.930 0.000
Er 1.930 1.930 4.992
O 0.000 0.000 4.992
O 0.000 1.930 1.355
O 0.000 1.930 8.629
O 1.930 0.000 1.355
O 1.930 0.000 8.629
```

Entry 6:
A plane-wave DFT calculation with PBE-GGA was carried out for a relaxed Ac3CoCl crystal.

Output
- total magnetization (μB per formula unit) = 0.01
- symmetry = No. 221
- uncorrected energy (eV/atom) = -4.06

extended XYZ file:
```
5
Lattice="5.591 0.000 0.000 0.000 5.591 0.000 0.000 0.000 5.591" Properties=species:S:1:pos:R:3 pbc="T T T"
Ac 0.000 0.000 2.796
Ac 0.000 2.796 0.000
Ac 2.796 0.000 0.000
Co 2.796 2.796 2.796
Cl 0.000 0.000 0.000
```

Entry 7:
A plane-wave DFT calculation with PBE-GGA was carried out for a relaxed NaDyTc crystal.

Output
- total magnetization (μB per formula unit) = 1.30
- symmetry = No. 216
- uncorrected energy (eV/atom) = -4.09

extended XYZ file:
```
3
Lattice="0.000 3.386 3.386 3.386 0.000 3.386 3.386 3.386 0.000" Properties=species:S:1:pos:R:3 pbc="T T T"
Na 0.000 0.000 0.000
Dy 1.693 1.693 1.693
Tc 3.386 3.386 3.386
```

Entry 8:
A plane-wave DFT calculation with PBE-GGA was carried out for a relaxed TlTcAuSe3 crystal.

Output
- total magnetization (μB per formula unit) = 0.00
- symmetry = No. 11
- uncorrected energy (eV/atom) = -4.55
- ΔE to the lowest computed polymorph (meV/atom) = 0.0

extended XYZ file:
```
12
Lattice="8.238 0.000 0.000 0.000 3.706 0.000 -3.679 0.000 9.194" Properties=species:S:1:pos:R:3 pbc="T T T"
Tl 1.156 0.927 1.919
Tl 3.402 2.780 7.275
Tc -0.882 2.780 6.136
Tc 5.440 0.927 3.058
Au 0.767 0.927 8.130
Au 3.792 2.780 1.064
Se -1.106 2.780 3.529
Se -1.722 2.780 8.454
Se 0.780 0.927 5.648
Se 3.778 2.780 3.546
Se 6.280 0.927 0.741
Se 5.664 0.927 5.665
```